BaMnAu2F | PBE with a Hubbard U | relaxed

Total moment   4.8 μB/f.u.
Raw total energy   -21.12 eV/cell
Energy relative to the lowest polymorph listed for this composition   1.675 eV/f.u.
Crystal system   tetragonal

a = 5.7485 Å, b = 5.7485 Å, c = 3.9038 Å
α = 90.00°, β = 90.00°, γ = 90.00°
With the nearest neighbours (Å) after each atom.
Space group P4/mmm (No. 123)
Symmetry-distinct sites (fractional):
Ba (0.0000, 0.0000, 0.0000) [1 per cell]  8 Au 3.47
Mn (0.5000, 0.5000, 0.0000) [1 per cell]  2 F 1.95
Au (0.0000, 0.5000, 0.5000) [2 per cell]  2 F 2.87
F (0.5000, 0.5000, 0.5000) [1 per cell]  2 Mn 1.95